1.
# LiTm8Sn6 | Alexandria via LeMat-Bulk | PBE-GGA | relaxed
data_LiTm8Sn6
_chemical_formula_sum 'Li3 Tm24 Sn18'
_cell_length_a 8.9710
_cell_length_b 8.9710
_cell_length_c 18.8676
_cell_angle_alpha 90.00
_cell_angle_beta 90.00
_cell_angle_gamma 120.00
_space_group_name_H-M_alt 'R -3'
_space_group_IT_number 148
_space_group_name_Hall '-R 3'
loop_
_atom_site_label
_atom_site_type_symbol
_atom_site_fract_x
_atom_site_fract_y
_atom_site_fract_z
Li1 Li 0.0000 0.0000 0.0000
Tm1 Tm 0.0000 0.0000 0.3330
Tm2 Tm 0.0037 0.3130 0.1008
Sn1 Sn 0.0025 0.3488 0.9296
# E_form, eV per atom: -0.485
# Spin magnetization, μB/cell: 0.0

***

2.
# LiTmSn | Alexandria via LeMat-Bulk | PBE-GGA | relaxed
data_LiTmSn
_chemical_formula_sum 'Li4 Tm4 Sn4'
_cell_length_a 7.686
_cell_length_b 9.279
_cell_length_c 5.005
_cell_angle_alpha 90.00
_cell_angle_beta 90.00
_cell_angle_gamma 90.00
_space_group_name_H-M_alt 'C m m m'
_space_group_IT_number 65
_space_group_name_Hall '-C 2 2'
loop_
_atom_site_label
_atom_site_type_symbol
_atom_site_fract_x
_atom_site_fract_y
_atom_site_fract_z
Li1 Li 0.164 0.000 0.000
Tm1 Tm 0.000 0.320 0.500
Sn1 Sn 0.000 0.000 0.500
Sn2 Sn 0.000 0.500 0.000
# E_form, eV per atom: -0.101
# Spin magnetization, μB/cell: 0.0

***

3.
# LiTm2Sn3 | Alexandria via LeMat-Bulk | PBE-GGA | relaxed
data_LiTm2Sn3
_chemical_formula_sum 'Li2 Tm4 Sn6'
_cell_length_a 3.375
_cell_length_b 5.385
_cell_length_c 17.174
_cell_angle_alpha 90.00
_cell_angle_beta 90.00
_cell_angle_gamma 90.00
_space_group_name_H-M_alt 'I m m m'
_space_group_IT_number 71
_space_group_name_Hall '-I 2 2'
loop_
_atom_site_label
_atom_site_type_symbol
_atom_site_fract_x
_atom_site_fract_y
_atom_site_fract_z
Li1 Li 0.000 0.000 0.000
Tm1 Tm 0.000 0.000 0.344
Sn1 Sn 0.000 0.000 0.163
Sn2 Sn 0.000 0.500 0.000
# E_form, eV per atom: -0.377
# Spin magnetization, μB/cell: 0.0

***

4.
# Li4TmSn2 | Alexandria via LeMat-Bulk | PBE-GGA | relaxed
data_Li4TmSn2
_chemical_formula_sum 'Li8 Tm2 Sn4'
_cell_length_a 7.844
_cell_length_b 7.844
_cell_length_c 4.620
_cell_angle_alpha 90.00
_cell_angle_beta 90.00
_cell_angle_gamma 90.00
_space_group_name_H-M_alt 'P 42/m n m'
_space_group_IT_number 136
_space_group_name_Hall '-P 4n 2n'
loop_
_atom_site_label
_atom_site_type_symbol
_atom_site_fract_x
_atom_site_fract_y
_atom_site_fract_z
Li1 Li 0.112 0.361 0.000
Tm1 Tm 0.000 0.000 0.500
Sn1 Sn 0.207 0.793 0.000
# E_form, eV per atom: -0.440
# Spin magnetization, μB/cell: 0.0

***

5.
# LiTmSn2 | Alexandria via LeMat-Bulk | PBE-GGA | relaxed
data_LiTmSn2
_chemical_formula_sum 'Li1 Tm1 Sn2'
_cell_length_a 4.612
_cell_length_b 4.612
_cell_length_c 4.366
_cell_angle_alpha 90.00
_cell_angle_beta 90.00
_cell_angle_gamma 90.00
_space_group_name_H-M_alt 'P 4/m m m'
_space_group_IT_number 123
_space_group_name_Hall '-P 4 2'
loop_
_atom_site_label
_atom_site_type_symbol
_atom_site_fract_x
_atom_site_fract_y
_atom_site_fract_z
Li1 Li 0.000 0.000 0.000
Tm1 Tm 0.500 0.500 0.000
Sn1 Sn 0.000 0.500 0.500
# E_form, eV per atom: -0.523
# Distance to the lowest polymorph of the same formula, meV per atom: 0
# Spin magnetization, μB/cell: 0.0

***

6.
# Li2Tm3Sn4 | Alexandria via LeMat-Bulk | PBE-GGA | relaxed
data_Li2Tm3Sn4
_chemical_formula_sum 'Li4 Tm6 Sn8'
_cell_length_a 11.331
_cell_length_b 4.563
_cell_length_c 8.781
_cell_angle_alpha 90.00
_cell_angle_beta 111.37
_cell_angle_gamma 90.00
_space_group_name_H-M_alt 'C 1 2/m 1'
_space_group_IT_number 12
_space_group_name_Hall '-C 2y'
loop_
_atom_site_label
_atom_site_type_symbol
_atom_site_fract_x
_atom_site_fract_y
_atom_site_fract_z
Li1 Li 0.180 0.000 0.359
Tm1 Tm 0.000 0.500 0.000
Tm2 Tm 0.136 0.000 0.686
Sn1 Sn 0.074 0.500 0.389
Sn2 Sn 0.201 0.000 0.070
# E_form, eV per atom: -0.548
# Spin magnetization, μB/cell: 0.0

***

7.
# LiTmSn2 | Alexandria via LeMat-Bulk | PBE-GGA | relaxed
data_LiTmSn2
_chemical_formula_sum 'Li3 Tm3 Sn6'
_cell_length_a 3.4393
_cell_length_b 3.4393
_cell_length_c 29.1447
_cell_angle_alpha 90.00
_cell_angle_beta 90.00
_cell_angle_gamma 120.00
_space_group_name_H-M_alt 'R -3 m'
_space_group_IT_number 166
_space_group_name_Hall '-R 3 2"'
loop_
_atom_site_label
_atom_site_type_symbol
_atom_site_fract_x
_atom_site_fract_y
_atom_site_fract_z
Li1 Li 0.0000 0.0000 0.0000
Tm1 Tm 0.0000 0.0000 0.5000
Sn1 Sn 0.0000 0.0000 0.2549
# E_form, eV per atom: -0.312
# Distance to the lowest polymorph of the same formula, meV per atom: 211
# Spin magnetization, μB/cell: 0.0

***

8.
# Li2TmSn4 | Alexandria via LeMat-Bulk | PBE-GGA | relaxed
data_Li2TmSn4
_chemical_formula_sum 'Li4 Tm2 Sn8'
_cell_length_a 7.005
_cell_length_b 7.005
_cell_length_c 7.116
_cell_angle_alpha 90.00
_cell_angle_beta 90.00
_cell_angle_gamma 90.00
_space_group_name_H-M_alt 'I 4/m m m'
_space_group_IT_number 139
_space_group_name_Hall '-I 4 2'
loop_
_atom_site_label
_atom_site_type_symbol
_atom_site_fract_x
_atom_site_fract_y
_atom_site_fract_z
Li1 Li 0.000 0.500 0.000
Tm1 Tm 0.000 0.000 0.000
Sn1 Sn 0.250 0.250 0.250
# E_form, eV per atom: -0.317
# Spin magnetization, μB/cell: 0.0